# 1
Density functional theory data (PBE) for an optimized crystal structure of Ac2AlSnPt6.

ΔE_f, eV/atom: -0.912
Volume, Å³/cell: 224.5

a = 5.6095 Å, b = 6.8802 Å, c = 6.9623 Å
α = 78.59°, β = 66.25°, γ = 66.00°
Closest atoms and distances in Å follow each position.
Element x y z (fractional)
Ac  0.2450  0.2977  0.2123  7 Pt 3.19-3.50
Ac  0.7550  0.7023  0.7877  7 Pt 3.19-3.50
Al  0.5000  0.5000  0.5000  6 Pt 2.52-2.55
Sn  0.0000  0.0000  0.0000  6 Pt 2.66-2.68
Pt  0.2433  0.7472  0.2680  1 Al 2.52, 1 Sn 2.68, 3 Pt 2.73-2.82
Pt  0.2554  0.8887  0.6019  1 Al 2.55, 1 Sn 2.66, 4 Pt 2.73-2.84
Pt  0.2587  0.2531  0.7330  1 Al 2.52, 1 Sn 2.68, 3 Pt 2.73-2.82
Pt  0.7413  0.7469  0.2670  1 Al 2.52, 1 Sn 2.68, 3 Pt 2.73-2.82
Pt  0.7446  0.1113  0.3981  1 Al 2.55, 1 Sn 2.66, 4 Pt 2.73-2.84
Pt  0.7567  0.2528  0.7320  1 Al 2.52, 1 Sn 2.68, 3 Pt 2.73-2.82

=====

# 2
Density functional theory data (PBE) for an optimized crystal structure of Ac2Al3SnPt4.

ΔE_f, eV/atom: -1.051
Volume, Å³/cell: 213.6

a = 4.4937 Å, b = 4.4937 Å, c = 10.5771 Å
α = 90.00°, β = 90.00°, γ = 90.00°
Closest atoms and distances in Å follow each position.
Element x y z (fractional)
Ac  0.0000  0.5000  0.2452  8 Pt 3.39-3.43, 6 Al 3.45-3.51, 2 Sn 3.51
Ac  0.5000  0.0000  0.7548  8 Pt 3.39-3.43, 6 Al 3.45-3.51, 2 Sn 3.51
Al  0.0000  0.5000  0.8825  5 Pt 2.54-2.57
Al  0.5000  0.0000  0.1175  5 Pt 2.54-2.57
Al  0.5000  0.5000  0.5000  4 Pt 2.71
Sn  0.0000  0.0000  0.5000  4 Pt 2.71
Pt  0.0000  0.0000  0.0000  4 Al 2.57
Pt  0.0000  0.5000  0.6428  3 Al 2.54-2.71, 2 Sn 2.71
Pt  0.5000  0.0000  0.3572  3 Al 2.54-2.71, 2 Sn 2.71
Pt  0.5000  0.5000  0.0000  4 Al 2.57

=====

# 3
Density functional theory data (PBE) for an optimized crystal structure of Ac2AlSn3Pt4.

ΔE_f, eV/atom: -0.942
Volume, Å³/cell: 231.7

a = 4.6605 Å, b = 4.6605 Å, c = 10.6668 Å
α = 90.00°, β = 90.00°, γ = 90.00°
Closest atoms and distances in Å follow each position.
Element x y z (fractional)
Ac  0.0000  0.5000  0.2483  8 Pt 3.53-3.57, 6 Sn 3.54-3.56, 2 Al 3.56
Ac  0.5000  0.0000  0.7517  8 Pt 3.53-3.57, 6 Sn 3.54-3.56, 2 Al 3.56
Al  0.0000  0.0000  0.5000  4 Pt 2.67
Sn  0.0000  0.5000  0.8722  5 Pt 2.67-2.70
Sn  0.5000  0.0000  0.1278  5 Pt 2.67-2.70
Sn  0.5000  0.5000  0.5000  4 Pt 2.67
Pt  0.0000  0.0000  0.0000  4 Sn 2.70
Pt  0.0000  0.5000  0.6220  3 Sn 2.67, 2 Al 2.67
Pt  0.5000  0.0000  0.3780  3 Sn 2.67, 2 Al 2.67
Pt  0.5000  0.5000  0.0000  4 Sn 2.70

=====

# 4
Density functional theory data (PBE) for an optimized crystal structure of AcAlSnPt3.

ΔE_f, eV/atom: -0.801
Volume, Å³/cell: 287.4

a = 8.7276 Å, b = 8.7276 Å, c = 5.8717 Å
α = 90.00°, β = 90.00°, γ = 140.02°
Closest atoms and distances in Å follow each position.
Element x y z (fractional)
Ac  0.2079  0.7921  0.7500  4 Pt 2.97-3.12
Ac  0.7921  0.2079  0.2500  4 Pt 2.97-3.12
Al  0.0861  0.9139  0.2500  5 Pt 2.47-2.51
Al  0.9139  0.0861  0.7500  5 Pt 2.47-2.51
Sn  0.3995  0.6005  0.2500  5 Pt 2.67-2.68
Sn  0.6005  0.3995  0.7500  5 Pt 2.67-2.68
Pt  0.2365  0.7635  0.2500  1 Al 2.47, 1 Sn 2.67
Pt  0.2444  0.2444  0.0000  2 Al 2.51, 2 Sn 2.68
Pt  0.2444  0.2444  0.5000  2 Al 2.51, 2 Sn 2.68
Pt  0.7556  0.7556  0.0000  2 Al 2.51, 2 Sn 2.68
Pt  0.7556  0.7556  0.5000  2 Al 2.51, 2 Sn 2.68
Pt  0.7635  0.2365  0.7500  1 Al 2.47, 1 Sn 2.67

=====

> volume of number 1 (Ac2AlSnPt6)?

224.5 Å³/cell

=====

> The lowest ΔE_f belongs to which entry?

Ac2Al3SnPt4

=====

> Which of these has the lowest ΔE_f?

Ac2Al3SnPt4

=====

> Which value of ΔE_f does entry 3 give?

-0.942 eV/atom